No. 1
Below is Na2PrReO6 after structural relaxation, with properties calculated at the PBE level.

The calculation puts the density at 5.63 g/cm³. The value obtained for the raw total energy is -0.260 Ha/atom.

It has space group P2_1/c (No. 14), with a = 5.707 Å, b = 5.903 Å, c = 9.974 Å, α = 90.00°, β = 124.60° and γ = 90.00°. The inequivalent atoms are Na at (0.244, 0.042, 0.254), Pr at (0.500, 0.000, 0.000), Re at (0.000, 0.000, 0.500), O at (0.105, 0.231, 0.940), O at (0.226, 0.673, 0.954) and O at (0.320, 0.041, 0.719).



No. 2
Below is Na4PrRe3O12 after structural relaxation, with properties calculated at the PBE level.

The calculation puts the density at 6.07 g/cm³. The value obtained for the raw total energy is -0.261 Ha/atom.

It has space group Im-3m (No. 229), with a = 8.135 Å, b = 8.135 Å, c = 8.135 Å, α = 90.00°, β = 90.00° and γ = 90.00°. The inequivalent atoms are Na at (0.250, 0.250, 0.250), Pr at (0.000, 0.000, 0.000), Re at (0.000, 0.000, 0.500), O at (0.000, 0.000, 0.274) and O at (0.000, 0.250, 0.500).



No. 3
Below is Na2PrRe3O12 after structural relaxation, with properties calculated at the PBE level.

The calculation puts the density at 6.17 g/cm³. The value obtained for the raw total energy is -0.280 Ha/atom.

It has space group R-3m (No. 166, hexagonal axes), with a = 7.4656 Å, b = 7.4656 Å, c = 15.6928 Å, α = 90.00°, β = 90.00° and γ = 120.00°. The inequivalent atoms are Na at (0.0000, 0.0000, 0.1294), Pr at (0.0000, 0.0000, 0.5000), Re at (0.0000, 0.5000, 0.0000), O at (0.0479, 0.5239, 0.8851) and O at (0.0908, 0.5454, 0.3122).



No. 4
Below is NaPr2ReO8 after structural relaxation, with properties calculated at the PBE level.

The calculation puts the density at 6.37 g/cm³. The value obtained for the raw total energy is -0.272 Ha/atom.

It has space group P-1 (No. 2), with a = 4.375 Å, b = 5.295 Å, c = 7.190 Å, α = 90.60°, β = 104.41° and γ = 90.63°. The inequivalent atoms are Na at (0.000, 0.000, 0.000), Pr at (0.381, 0.494, 0.714), Re at (0.000, 0.000, 0.500), O at (0.168, 0.524, 0.000), O at (0.184, 0.711, 0.407), O at (0.222, 0.232, 0.388) and O at (0.316, 0.013, 0.736).



No. 5
Below is Na3Pr3ReO8 after structural relaxation, with properties calculated at the PBE level.

The calculation puts the density at 5.59 g/cm³. The value obtained for the raw total energy is -0.256 Ha/atom.

It has space group R-3m (No. 166, hexagonal axes), with a = 7.0304 Å, b = 7.0304 Å, c = 16.7665 Å, α = 90.00°, β = 90.00° and γ = 120.00°. The inequivalent atoms are Na at (0.0000, 0.5000, 0.0000), Pr at (0.0000, 0.5000, 0.5000), Re at (0.0000, 0.0000, 0.5000), O at (0.0000, 0.0000, 0.2400) and O at (0.0406, 0.5203, 0.2338).



No. 6
Below is NaPr2RhO6 after structural relaxation, with properties calculated at the PBE level.

The calculation puts the density at 6.23 g/cm³. The value obtained for the raw total energy is -0.255 Ha/atom.

It has space group P2_1/c (No. 14), with a = 5.566 Å, b = 6.015 Å, c = 9.696 Å, α = 90.00°, β = 124.26° and γ = 90.00°. The inequivalent atoms are Na at (0.000, 0.000, 0.000), Pr at (0.226, 0.075, 0.747), Rh at (0.500, 0.000, 0.500), O at (0.153, 0.174, 0.448), O at (0.270, 0.718, 0.434) and O at (0.384, 0.047, 0.267).



No. 7
Below is NaPrRhO4 after structural relaxation, with properties calculated at the PBE level.

The calculation puts the density at 5.85 g/cm³. The value obtained for the raw total energy is -0.240 Ha/atom.

It has space group I4mm (No. 107), with a = 3.893 Å, b = 3.893 Å, c = 12.390 Å, α = 90.00°, β = 90.00° and γ = 90.00°. The inequivalent atoms are Na at (0.000, 0.000, 0.000), Pr at (0.000, 0.000, 0.703), Rh at (0.000, 0.000, 0.360), O at (0.000, 0.000, 0.187), O at (0.000, 0.000, 0.520) and O at (0.000, 0.500, 0.333).



No. 8
Below is NaPr2Rh3O8 after structural relaxation, with properties calculated at the PBE level.

The calculation puts the density at 5.95 g/cm³. The value obtained for the raw total energy is -0.253 Ha/atom.

It has space group R3m (No. 160, hexagonal axes), with a = 6.4857 Å, b = 6.4857 Å, c = 17.0299 Å, α = 90.00°, β = 90.00° and γ = 120.00°. The inequivalent atoms are Na at (0.0000, 0.0000, 0.0000), Pr at (0.0000, 0.0000, 0.1782), Pr at (0.0000, 0.0000, 0.6644), Rh at (0.0053, 0.5026, 0.1521), O at (0.0000, 0.0000, 0.4300), O at (0.0000, 0.0000, 0.8724), O at (0.0086, 0.5043, 0.4201) and O at (0.1925, 0.3850, 0.2226).



No. 9
Below is Na2PrRh3O8 after structural relaxation, with properties calculated at the PBE level.

The calculation puts the density at 5.50 g/cm³. The value obtained for the raw total energy is -0.232 Ha/atom.

It has space group R3m (No. 160, hexagonal axes), with a = 6.3906 Å, b = 6.3906 Å, c = 15.9574 Å, α = 90.00°, β = 90.00° and γ = 120.00°. The inequivalent atoms are Na at (0.0000, 0.0000, 0.0000), Na at (0.0000, 0.0000, 0.3741), Pr at (0.0000, 0.0000, 0.7602), Rh at (0.0056, 0.5028, 0.8782), O at (0.0000, 0.0000, 0.1461), O at (0.0000, 0.0000, 0.6098), O at (0.0410, 0.5205, 0.1438) and O at (0.1827, 0.3654, 0.9378).



No. 10
Below is NaPr2RuO6 after structural relaxation, with properties calculated at the PBE level.

The calculation puts the density at 6.18 g/cm³. The value obtained for the raw total energy is -0.268 Ha/atom.

It has space group P2_1/c (No. 14), with a = 5.583 Å, b = 6.005 Å, c = 9.722 Å, α = 90.00°, β = 124.17° and γ = 90.00°. The inequivalent atoms are Na at (0.000, 0.000, 0.000), Pr at (0.226, 0.072, 0.747), Ru at (0.500, 0.000, 0.500), O at (0.157, 0.174, 0.449), O at (0.266, 0.720, 0.431) and O at (0.388, 0.049, 0.270).



No. 11
Below is NaPrRu2O8 after structural relaxation, with properties calculated at the PBE level.

The calculation puts the density at 4.87 g/cm³. The value obtained for the raw total energy is -0.250 Ha/atom.

It has space group I-4 (No. 82), with a = 5.340 Å, b = 5.340 Å, c = 11.817 Å, α = 90.00°, β = 90.00° and γ = 90.00°. The inequivalent atoms are Na at (0.000, 0.000, 0.000), Pr at (0.000, 0.500, 0.250), Ru at (0.000, 0.000, 0.500), Ru at (0.000, 0.500, 0.750), O at (0.140, 0.243, 0.415) and O at (0.149, 0.746, 0.830).



No. 12
Below is NaPrRuO6 after structural relaxation, with properties calculated at the PBE level.

The calculation puts the density at 4.59 g/cm³. The value obtained for the raw total energy is -0.237 Ha/atom.

It has space group P312 (No. 149), with a = 5.5358 Å, b = 5.5358 Å, c = 4.9189 Å, α = 90.00°, β = 90.00° and γ = 120.00°. The inequivalent atoms are Na at (0.0000, 0.0000, 0.0000), Pr at (0.6667, 0.3333, 0.5000), Ru at (0.3333, 0.6667, 0.0000) and O at (0.0491, 0.3961, 0.2210).



No. 13
Below is NaPrS2O8 after structural relaxation, with properties calculated at the PBE level.

The calculation puts the density at 3.09 g/cm³. The value obtained for the raw total energy is -0.238 Ha/atom.

It has space group P-3m1 (No. 164), with a = 5.5161 Å, b = 5.5161 Å, c = 7.2532 Å, α = 90.00°, β = 90.00° and γ = 120.00°. The inequivalent atoms are Na at (0.0000, 0.0000, 0.0000), Pr at (0.0000, 0.0000, 0.5000), S at (0.3333, 0.6667, 0.7892), O at (0.1868, 0.3735, 0.7136) and O at (0.3333, 0.6667, 0.9888).



No. 14
Below is Na3PrS4O12 after structural relaxation, with properties calculated at the PBE level.

The calculation puts the density at 3.10 g/cm³. The value obtained for the raw total energy is -0.203 Ha/atom.

It has space group R32 (No. 155, hexagonal axes), with a = 10.9621 Å, b = 10.9621 Å, c = 8.1854 Å, α = 90.00°, β = 90.00° and γ = 120.00°. The inequivalent atoms are Na at (0.0000, 0.5680, 0.0000), Pr at (0.0000, 0.0000, 0.0000), S at (0.0000, 0.0000, 0.5000), S at (0.0000, 0.4117, 0.5000), O at (0.0000, 0.5501, 0.5000), O at (0.0000, 0.8691, 0.5000) and O at (0.0260, 0.1853, 0.1860).



No. 15
Below is NaPrS2O6 after structural relaxation, with properties calculated at the PBE level.

The calculation puts the density at 3.42 g/cm³. The value obtained for the raw total energy is -0.235 Ha/atom.

It has space group C2/c (No. 15), with a = 7.757 Å, b = 10.554 Å, c = 7.712 Å, α = 90.00°, β = 95.38° and γ = 90.00°. The inequivalent atoms are Na at (0.000, 0.169, 0.250), Pr at (0.000, 0.418, 0.750), S at (0.215, 0.120, 0.858), O at (0.086, 0.386, 0.069), O at (0.204, 0.006, 0.733) and O at (0.206, 0.239, 0.743).